No. 1
{"formula": "Ti2Pt6Rh", "functional": "PBE", "state": "relaxed", "lattice": [[3.715, 0.000, -1.111], [-0.600, 5.909, -2.005], [-0.146, 0.119, 6.279]], "species": ["Pt", "Ti", "Ti", "Pt", "Pt", "Pt", "Pt", "Rh", "Pt"], "frac_coords": [[0.603, 0.165, 0.206], [0.057, 0.819, 0.114], [0.943, 0.181, 0.886], [0.397, 0.835, 0.794], [0.717, 0.839, 0.434], [0.283, 0.161, 0.566], [0.166, 0.510, 0.333], [0.500, 0.500, 0.000], [0.834, 0.490, 0.667]], "final_energy_ev_per_atom": -7.317, "formation_energy_ev_per_atom": -0.72, "spacegroup": "C2/m (12)", "crystal_system": "monoclinic", "dos_at_fermi_per_ev_atom": 0.825, "magnetic_moment_mub_per_cell": 0.00}

=====

No. 2
{"formula": "Ti3PtRh", "functional": "PBE", "state": "relaxed", "lattice": [[6.474, -0.027, -0.022], [0.044, 7.341, 0.865], [0.044, 2.337, 7.013]], "species": ["Ti", "Rh", "Ti", "Pt", "Ti", "Ti", "Pt", "Ti", "Rh", "Rh", "Ti", "Ti", "Ti", "Pt", "Rh", "Ti", "Ti", "Ti", "Pt", "Ti"], "frac_coords": [[0.947, 0.407, 0.301], [0.750, 0.421, 0.579], [0.053, 0.593, 0.699], [0.293, 0.544, 0.013], [0.049, 0.232, 0.059], [0.908, 0.820, 0.311], [0.207, 0.987, 0.456], [0.592, 0.689, 0.180], [0.750, 0.076, 0.924], [0.250, 0.579, 0.421], [0.408, 0.311, 0.820], [0.447, 0.301, 0.407], [0.092, 0.180, 0.689], [0.793, 0.013, 0.544], [0.250, 0.924, 0.076], [0.553, 0.699, 0.593], [0.549, 0.059, 0.232], [0.951, 0.768, 0.941], [0.707, 0.456, 0.987], [0.451, 0.941, 0.768]], "final_energy_ev_per_atom": -7.999, "formation_energy_ev_per_atom": -0.58, "spacegroup": "C2/c (15)", "crystal_system": "monoclinic", "dos_at_fermi_per_ev_atom": 1.192, "magnetic_moment_mub_per_cell": 0.03}

=====

No. 3
{"formula": "Ti3PtRh", "functional": "PBE", "state": "relaxed", "lattice": [[4.623, 0.000, 0.000], [0.000, 4.623, 0.000], [0.000, 0.000, 4.623]], "species": ["Ti", "Ti", "Ti", "Rh", "Pt"], "frac_coords": [[0.000, 0.000, 0.500], [0.000, 0.500, 0.000], [0.500, 0.000, 0.000], [0.000, 0.000, 0.000], [0.500, 0.500, 0.500]], "final_energy_ev_per_atom": -7.131, "formation_energy_ev_per_atom": 0.28, "spacegroup": "Pm-3m (221)", "crystal_system": "cubic", "dos_at_fermi_per_ev_atom": 1.831, "magnetic_moment_mub_per_cell": 0.00}

=====

No. 4
{"formula": "TiPtRh6", "functional": "PBE", "state": "relaxed", "lattice": [[3.876, 0.000, 0.000], [0.000, 5.463, -0.035], [0.000, 0.034, 5.463]], "species": ["Rh", "Ti", "Rh", "Pt", "Rh", "Rh", "Rh", "Rh"], "frac_coords": [[0.000, 0.752, 0.752], [0.500, 0.000, 0.000], [0.000, 0.752, 0.248], [0.500, 0.500, 0.500], [0.000, 0.248, 0.248], [0.000, 0.248, 0.752], [0.500, 0.500, 0.000], [0.500, 0.000, 0.500]], "final_energy_ev_per_atom": -7.557, "formation_energy_ev_per_atom": -0.30, "spacegroup": "P4/mmm (123)", "crystal_system": "tetragonal", "dos_at_fermi_per_ev_atom": 1.293, "magnetic_moment_mub_per_cell": 0.00}